Material: LiFeSn
Method: DFT, PBE
State: optimized geometry

M_tot   8.895 Bohr magnetons per cell
Formation energy   -75 meV/atom
DOS(E_F)   1.51 states/eV/f.u.

Cell: 9.008 3.174 7.549 Å, 90.00 111.35 90.00°
Space group C2/m (No. 12)
Inequivalent atoms, fractional coordinates:
Li 0.163 0.000 0.099
Fe 0.184 0.000 0.567
Sn 0.009 0.500 0.724